# 1
{
  "formula": "RbBaP",
  "functional": "PBE-GGA",
  "state": "relaxed",
  "vol_a3_per_atom": 54.8,
  "formation_energy_ev_per_atom": -0.5367,
  "n_ef_per_ev_fu": 1.67,
  "spacegroup": "No. 8",
  "total_energy_ev_per_atom": -3.30,
  "lattice": [[4.453, -2.571, 0.000], [4.453, 2.571, 0.000], [-2.961, 0.000, 14.371]],
  "species": ["Rb", "Rb", "Ba", "Ba", "P", "P"],
  "frac_coords": [[0.000, 0.000, 0.000], [0.565, 0.565, 0.700], [0.137, 0.137, 0.411], [0.736, 0.736, 0.207], [0.383, 0.383, 0.148], [0.437, 0.437, 0.310]]
}



# 2
{
  "formula": "RbBaP",
  "functional": "PBE-GGA",
  "state": "relaxed",
  "vol_a3_per_atom": 50.0,
  "formation_energy_ev_per_atom": -0.4864,
  "n_ef_per_ev_fu": 5.21,
  "spacegroup": "No. 156",
  "total_energy_ev_per_atom": -3.25,
  "lattice": [[5.052, 0.000, 0.000], [-2.526, 4.375, 0.000], [0.000, 0.000, 6.781]],
  "species": ["Rb", "Ba", "P"],
  "frac_coords": [[0.000, 0.000, 0.000], [0.333, 0.667, 0.436], [0.667, 0.333, 0.274]]
}



# 3
{
  "formula": "RbBaP",
  "functional": "PBE-GGA",
  "state": "relaxed",
  "vol_a3_per_atom": 38.0,
  "formation_energy_ev_per_atom": -0.6654,
  "spacegroup": "No. 62",
  "total_energy_ev_per_atom": -3.43,
  "lattice": [[8.987, 0.000, 0.000], [0.000, 5.430, 0.000], [0.000, 0.000, 9.343]],
  "species": ["Rb", "Rb", "Rb", "Rb", "Ba", "Ba", "Ba", "Ba", "P", "P", "P", "P"],
  "frac_coords": [[0.022, 0.250, 0.171], [0.478, 0.750, 0.671], [0.522, 0.250, 0.329], [0.978, 0.750, 0.829], [0.154, 0.250, 0.587], [0.346, 0.750, 0.087], [0.654, 0.250, 0.913], [0.846, 0.750, 0.413], [0.205, 0.750, 0.403], [0.295, 0.250, 0.903], [0.705, 0.750, 0.097], [0.795, 0.250, 0.597]]
}



# 4
{
  "formula": "RbBa8P4",
  "functional": "PBE-GGA",
  "state": "relaxed",
  "vol_a3_per_atom": 50.4,
  "formation_energy_ev_per_atom": -0.7426,
  "n_ef_per_ev_fu": 5.89,
  "spacegroup": "No. 87",
  "total_energy_ev_per_atom": -3.66,
  "lattice": [[-8.330, 8.330, 2.359], [8.330, -8.330, 2.359], [8.330, 8.330, -2.359]],
  "species": ["Rb", "Ba", "Ba", "Ba", "Ba", "Ba", "Ba", "Ba", "Ba", "P", "P", "P", "P"],
  "frac_coords": [[0.000, 0.000, 0.000], [0.041, 0.661, 0.703], [0.302, 0.655, 0.957], [0.339, 0.041, 0.380], [0.345, 0.302, 0.647], [0.655, 0.698, 0.353], [0.661, 0.959, 0.620], [0.698, 0.345, 0.043], [0.959, 0.339, 0.297], [0.154, 0.328, 0.482], [0.328, 0.846, 0.174], [0.672, 0.154, 0.826], [0.846, 0.672, 0.518]]
}



# 5
{
  "formula": "RbBa3P",
  "functional": "PBE-GGA",
  "state": "relaxed",
  "vol_a3_per_atom": 66.3,
  "formation_energy_ev_per_atom": -0.3972,
  "e_above_lowest_polymorph_mev_per_atom": 7,
  "n_ef_per_ev_fu": 6.10,
  "spacegroup": "No. 148",
  "total_energy_ev_per_atom": -2.83,
  "lattice": [[3.984, 2.300, 12.051], [-3.984, 2.300, 12.051], [0.000, -4.600, 12.051]],
  "species": ["Rb", "Rb", "Ba", "Ba", "Ba", "Ba", "Ba", "Ba", "P", "P"],
  "frac_coords": [[0.165, 0.165, 0.165], [0.835, 0.835, 0.835], [0.048, 0.396, 0.706], [0.294, 0.952, 0.604], [0.396, 0.706, 0.048], [0.604, 0.294, 0.952], [0.706, 0.048, 0.396], [0.952, 0.604, 0.294], [0.334, 0.334, 0.334], [0.666, 0.666, 0.666]]
}



# 6
{
  "formula": "RbBaP3",
  "functional": "PBE-GGA",
  "state": "relaxed",
  "vol_a3_per_atom": 32.7,
  "formation_energy_ev_per_atom": 0.9581,
  "e_above_lowest_polymorph_mev_per_atom": 179,
  "n_ef_per_ev_fu": 5.53,
  "spacegroup": "No. 221",
  "total_energy_ev_per_atom": -2.87,
  "lattice": [[5.469, 0.000, 0.000], [0.000, 5.469, 0.000], [0.000, 0.000, 5.469]],
  "species": ["Rb", "Ba", "P", "P", "P"],
  "frac_coords": [[0.000, 0.000, 0.000], [0.500, 0.500, 0.500], [0.000, 0.000, 0.500], [0.000, 0.500, 0.000], [0.500, 0.000, 0.000]]
}



# 7
{
  "formula": "RbBaP3",
  "functional": "PBE-GGA",
  "state": "relaxed",
  "vol_a3_per_atom": 40.2,
  "formation_energy_ev_per_atom": 0.7789,
  "e_above_lowest_polymorph_mev_per_atom": 0,
  "n_ef_per_ev_fu": 5.43,
  "spacegroup": "No. 221",
  "total_energy_ev_per_atom": -3.05,
  "lattice": [[5.857, 0.000, 0.000], [0.000, 5.857, 0.000], [0.000, 0.000, 5.857]],
  "species": ["Rb", "Ba", "P", "P", "P"],
  "frac_coords": [[0.000, 0.000, 0.000], [0.500, 0.500, 0.500], [0.000, 0.500, 0.500], [0.500, 0.000, 0.500], [0.500, 0.500, 0.000]]
}



# 8
{
  "formula": "RbBa3P",
  "functional": "PBE-GGA",
  "state": "relaxed",
  "vol_a3_per_atom": 55.5,
  "formation_energy_ev_per_atom": -0.4043,
  "e_above_lowest_polymorph_mev_per_atom": 0,
  "n_ef_per_ev_fu": 3.76,
  "spacegroup": "No. 221",
  "total_energy_ev_per_atom": -2.83,
  "lattice": [[6.524, 0.000, 0.000], [0.000, 6.524, 0.000], [0.000, 0.000, 6.524]],
  "species": ["Rb", "Ba", "Ba", "Ba", "P"],
  "frac_coords": [[0.000, 0.000, 0.000], [0.000, 0.500, 0.500], [0.500, 0.000, 0.500], [0.500, 0.500, 0.000], [0.500, 0.500, 0.500]]
}



# 9
{
  "formula": "RbBa3P",
  "functional": "PBE-GGA",
  "state": "relaxed",
  "vol_a3_per_atom": 50.4,
  "formation_energy_ev_per_atom": 0.9742,
  "e_above_lowest_polymorph_mev_per_atom": 1379,
  "n_ef_per_ev_fu": 4.61,
  "spacegroup": "No. 221",
  "total_energy_ev_per_atom": -1.45,
  "lattice": [[6.316, 0.000, 0.000], [0.000, 6.316, 0.000], [0.000, 0.000, 6.316]],
  "species": ["Rb", "Ba", "Ba", "Ba", "P"],
  "frac_coords": [[0.000, 0.000, 0.000], [0.000, 0.000, 0.500], [0.000, 0.500, 0.000], [0.500, 0.000, 0.000], [0.500, 0.500, 0.500]]
}



# 10
{
  "formula": "RbBaRe2P",
  "functional": "PBE-GGA",
  "state": "relaxed",
  "vol_a3_per_atom": 29.7,
  "formation_energy_ev_per_atom": 2.8431,
  "n_ef_per_ev_fu": 7.04,
  "spacegroup": "No. 123",
  "total_energy_ev_per_atom": -3.80,
  "lattice": [[5.049, 0.000, 0.000], [0.000, 5.049, 0.000], [0.000, 0.000, 5.818]],
  "species": ["Rb", "Ba", "Re", "Re", "P"],
  "frac_coords": [[0.000, 0.000, 0.000], [0.500, 0.500, 0.500], [0.000, 0.500, 0.000], [0.500, 0.000, 0.000], [0.000, 0.000, 0.500]]
}



# 11
{
  "formula": "RbBaP2S",
  "functional": "PBE-GGA",
  "state": "relaxed",
  "vol_a3_per_atom": 46.5,
  "e_above_lowest_polymorph_mev_per_atom": 0,
  "n_ef_per_ev_fu": 5.33,
  "spacegroup": "No. 123",
  "total_energy_ev_per_atom": -3.22,
  "lattice": [[6.286, 0.000, 0.000], [0.000, 6.286, 0.000], [0.000, 0.000, 5.883]],
  "species": ["Rb", "Ba", "P", "P", "S"],
  "frac_coords": [[0.000, 0.000, 0.000], [0.500, 0.500, 0.500], [0.000, 0.500, 0.500], [0.500, 0.000, 0.500], [0.500, 0.500, 0.000]]
}